# 1
Computed, not measured: K2YTl after structural relaxation at the PBE level of DFT.

Values from the calculation:
For the formation energy from the elements, the calculation gives 0.49 eV per atom. For the density of states at the Fermi level, the calculation gives 0.81 states/eV per atom. Its energy above the most stable polymorph in this dataset is 446 meV/atom. The theoretical density is 3.90 g/cm3. The calculation puts the magnetization at 0.00 μB per cell.

The structure in CIF format:
```
data_K2YTl
_chemical_formula_sum 'K8 Y4 Tl4'
_cell_length_a 8.5876
_cell_length_b 8.5876
_cell_length_c 8.5876
_cell_angle_alpha 90.00
_cell_angle_beta 90.00
_cell_angle_gamma 90.00
_space_group_name_H-M_alt 'F m -3 m'
_space_group_IT_number 225
_space_group_name_Hall '-F 4 2 3'
loop_
_atom_site_label
_atom_site_fract_x
_atom_site_fract_y
_atom_site_fract_z
K1 0.2500 0.2500 0.2500
Y1 0.0000 0.0000 0.0000
Tl1 0.0000 0.0000 0.5000
```


# 2
Computed, not measured: KY2Tl after structural relaxation at the PBE level of DFT.

Values from the calculation:
For the formation energy from the elements, the calculation gives 0.17 eV per atom. For the density of states at the Fermi level, the calculation gives 1.27 states/eV per atom. Its energy above the most stable polymorph in this dataset is 138 meV/atom. The theoretical density is 5.05 g/cm3. The calculation puts the magnetization at 0.00 μB per cell.

The structure in CIF format:
```
data_KY2Tl
_chemical_formula_sum 'K1 Y2 Tl1'
_cell_length_a 3.6676
_cell_length_b 5.3982
_cell_length_c 7.1930
_cell_angle_alpha 90.00
_cell_angle_beta 103.51
_cell_angle_gamma 90.00
_space_group_name_H-M_alt 'P 1 2/m 1'
_space_group_IT_number 10
_space_group_name_Hall '-P 2y'
loop_
_atom_site_label
_atom_site_fract_x
_atom_site_fract_y
_atom_site_fract_z
K1 0.0000 0.0000 0.0000
Y1 0.3246 0.5000 0.7025
Tl1 0.5000 0.0000 0.5000
```


# 3
Computed, not measured: KY2Tl after structural relaxation at the PBE level of DFT.

Values from the calculation:
For the formation energy from the elements, the calculation gives 0.24 eV per atom. For the density of states at the Fermi level, the calculation gives 1.41 states/eV per atom. Its energy above the most stable polymorph in this dataset is 209 meV/atom. The theoretical density is 5.28 g/cm3. The calculation puts the magnetization at 0.00 μB per cell.

The structure in CIF format:
```
data_KY2Tl
_chemical_formula_sum 'K2 Y4 Tl2'
_cell_length_a 6.9656
_cell_length_b 12.0795
_cell_length_c 3.5144
_cell_angle_alpha 90.00
_cell_angle_beta 116.40
_cell_angle_gamma 90.00
_space_group_name_H-M_alt 'C 1 2/m 1'
_space_group_IT_number 12
_space_group_name_Hall '-C 2y'
loop_
_atom_site_label
_atom_site_fract_x
_atom_site_fract_y
_atom_site_fract_z
K1 0.0000 0.0000 0.0000
Y1 0.2500 0.2500 0.5000
Tl1 0.0000 0.5000 0.0000
```


# 4
Computed, not measured: KY2Tl after structural relaxation at the PBE level of DFT.

Values from the calculation:
For the formation energy from the elements, the calculation gives 0.21 eV per atom. For the density of states at the Fermi level, the calculation gives 0.73 states/eV per atom. Its energy above the most stable polymorph in this dataset is 171 meV/atom. The theoretical density is 5.58 g/cm3. The calculation puts the magnetization at 0.00 μB per cell.

The structure in CIF format:
```
data_KY2Tl
_chemical_formula_sum 'K1 Y2 Tl1'
_cell_length_a 5.1321
_cell_length_b 5.1321
_cell_length_c 4.7615
_cell_angle_alpha 90.00
_cell_angle_beta 90.00
_cell_angle_gamma 90.00
_space_group_name_H-M_alt 'P 4/m m m'
_space_group_IT_number 123
_space_group_name_Hall '-P 4 2'
loop_
_atom_site_label
_atom_site_fract_x
_atom_site_fract_y
_atom_site_fract_z
K1 0.0000 0.0000 0.0000
Y1 0.0000 0.5000 0.5000
Tl1 0.5000 0.5000 0.0000
```


# 5
Computed, not measured: K2YTl after structural relaxation at the PBE level of DFT.

Values from the calculation:
For the formation energy from the elements, the calculation gives 0.26 eV per atom. For the density of states at the Fermi level, the calculation gives 0.32 states/eV per atom. Its energy above the most stable polymorph in this dataset is 221 meV/atom. The theoretical density is 4.31 g/cm3. The calculation puts the magnetization at 0.00 μB per cell.

The structure in CIF format:
```
data_K2YTl
_chemical_formula_sum 'K8 Y4 Tl4'
_cell_length_a 8.3018
_cell_length_b 8.3018
_cell_length_c 8.3018
_cell_angle_alpha 90.00
_cell_angle_beta 90.00
_cell_angle_gamma 90.00
_space_group_name_H-M_alt 'F -4 3 m'
_space_group_IT_number 216
_space_group_name_Hall 'F -4 2 3'
loop_
_atom_site_label
_atom_site_fract_x
_atom_site_fract_y
_atom_site_fract_z
K1 0.0000 0.0000 0.0000
K2 0.2500 0.2500 0.2500
Y1 0.0000 0.0000 0.5000
Tl1 0.2500 0.2500 0.7500
```


# 6
Computed, not measured: K2YTl after structural relaxation at the PBE level of DFT.

Values from the calculation:
For the formation energy from the elements, the calculation gives 0.11 eV per atom. For the density of states at the Fermi level, the calculation gives 0.93 states/eV per atom. Its energy above the most stable polymorph in this dataset is 73 meV/atom. The theoretical density is 3.57 g/cm3. The calculation puts the magnetization at 0.00 μB per cell.

The structure in CIF format:
```
data_K2YTl
_chemical_formula_sum 'K6 Y3 Tl3'
_cell_length_a 3.9658
_cell_length_b 3.9658
_cell_length_c 38.0887
_cell_angle_alpha 90.00
_cell_angle_beta 90.00
_cell_angle_gamma 120.00
_space_group_name_H-M_alt 'R 3 m'
_space_group_IT_number 160
_space_group_name_Hall 'R 3 -2"'
loop_
_atom_site_label
_atom_site_fract_x
_atom_site_fract_y
_atom_site_fract_z
K1 0.0000 0.0000 0.0000
K2 0.0000 0.0000 0.2251
Y1 0.0000 0.0000 0.7591
Tl1 0.0000 0.0000 0.4849
```


# 7
Computed, not measured: K2YTl after structural relaxation at the PBE level of DFT.

Values from the calculation:
For the formation energy from the elements, the calculation gives 0.30 eV per atom. For the density of states at the Fermi level, the calculation gives 1.30 states/eV per atom. Its energy above the most stable polymorph in this dataset is 259 meV/atom. The theoretical density is 3.84 g/cm3. The calculation puts the magnetization at 0.70 μB per cell.

The structure in CIF format:
```
data_K2YTl
_chemical_formula_sum 'K2 Y1 Tl1'
_cell_length_a 3.6763
_cell_length_b 6.3750
_cell_length_c 6.8508
_cell_angle_alpha 90.00
_cell_angle_beta 90.00
_cell_angle_gamma 90.00
_space_group_name_H-M_alt 'P m m m'
_space_group_IT_number 47
_space_group_name_Hall '-P 2 2'
loop_
_atom_site_label
_atom_site_fract_x
_atom_site_fract_y
_atom_site_fract_z
K1 0.0000 0.0000 0.2390
Y1 0.5000 0.5000 0.5000
Tl1 0.5000 0.5000 0.0000
```


# 8
Computed, not measured: KY4Tl after structural relaxation at the PBE level of DFT.

Values from the calculation:
For the formation energy from the elements, the calculation gives 0.41 eV per atom. For the density of states at the Fermi level, the calculation gives 1.04 states/eV per atom. The theoretical density is 4.71 g/cm3. The calculation puts the magnetization at 0.00 μB per cell.

The structure in CIF format:
```
data_KY4Tl
_chemical_formula_sum 'K4 Y16 Tl4'
_cell_length_a 9.4540
_cell_length_b 9.4540
_cell_length_c 9.4540
_cell_angle_alpha 90.00
_cell_angle_beta 90.00
_cell_angle_gamma 90.00
_space_group_name_H-M_alt 'F -4 3 m'
_space_group_IT_number 216
_space_group_name_Hall 'F -4 2 3'
loop_
_atom_site_label
_atom_site_fract_x
_atom_site_fract_y
_atom_site_fract_z
K1 0.0000 0.0000 0.0000
Y1 0.1233 0.1233 0.3767
Tl1 0.2500 0.2500 0.7500
```


# 9
Computed, not measured: K2YTl after structural relaxation at the PBE level of DFT.

Values from the calculation:
For the formation energy from the elements, the calculation gives 0.28 eV per atom. For the density of states at the Fermi level, the calculation gives 1.32 states/eV per atom. Its energy above the most stable polymorph in this dataset is 240 meV/atom. The theoretical density is 3.86 g/cm3. The calculation puts the magnetization at 0.03 μB per cell.

The structure in CIF format:
```
data_K2YTl
_chemical_formula_sum 'K6 Y3 Tl3'
_cell_length_a 3.7080
_cell_length_b 3.7080
_cell_length_c 40.2320
_cell_angle_alpha 90.00
_cell_angle_beta 90.00
_cell_angle_gamma 120.00
_space_group_name_H-M_alt 'R -3 m'
_space_group_IT_number 166
_space_group_name_Hall '-R 3 2"'
loop_
_atom_site_label
_atom_site_fract_x
_atom_site_fract_y
_atom_site_fract_z
K1 0.0000 0.0000 0.2441
Y1 0.0000 0.0000 0.0000
Tl1 0.0000 0.0000 0.5000
```


# 10
Computed, not measured: KY2Tl after structural relaxation at the PBE level of DFT.

Values from the calculation:
For the formation energy from the elements, the calculation gives 0.23 eV per atom. For the density of states at the Fermi level, the calculation gives 0.77 states/eV per atom. Its energy above the most stable polymorph in this dataset is 196 meV/atom. The theoretical density is 5.34 g/cm3. The calculation puts the magnetization at 0.00 μB per cell.

The structure in CIF format:
```
data_KY2Tl
_chemical_formula_sum 'K1 Y2 Tl1'
_cell_length_a 3.8750
_cell_length_b 5.7694
_cell_length_c 5.8572
_cell_angle_alpha 90.00
_cell_angle_beta 90.00
_cell_angle_gamma 90.00
_space_group_name_H-M_alt 'P m m m'
_space_group_IT_number 47
_space_group_name_Hall '-P 2 2'
loop_
_atom_site_label
_atom_site_fract_x
_atom_site_fract_y
_atom_site_fract_z
K1 0.0000 0.0000 0.0000
Y1 0.0000 0.5000 0.5000
Y2 0.5000 0.5000 0.0000
Tl1 0.5000 0.0000 0.5000
```


# 11
Computed, not measured: KY2Tl after structural relaxation at the PBE level of DFT.

Values from the calculation:
For the formation energy from the elements, the calculation gives 0.04 eV per atom. For the density of states at the Fermi level, the calculation gives 1.18 states/eV per atom. Its energy above the most stable polymorph in this dataset is 0 meV/atom. The theoretical density is 4.86 g/cm3. The calculation puts the magnetization at 1.23 μB per cell.

The structure in CIF format:
```
data_KY2Tl
_chemical_formula_sum 'K1 Y2 Tl1'
_cell_length_a 3.7153
_cell_length_b 3.7153
_cell_length_c 10.4342
_cell_angle_alpha 90.00
_cell_angle_beta 90.00
_cell_angle_gamma 90.00
_space_group_name_H-M_alt 'P 4 m m'
_space_group_IT_number 99
_space_group_name_Hall 'P 4 -2'
loop_
_atom_site_label
_atom_site_fract_x
_atom_site_fract_y
_atom_site_fract_z
K1 0.0000 0.0000 0.0000
Y1 0.0000 0.0000 0.4410
Y2 0.5000 0.5000 0.6617
Tl1 0.5000 0.5000 0.2525
```


# 12
Computed, not measured: KY2Tl after structural relaxation at the PBE level of DFT.

Values from the calculation:
For the formation energy from the elements, the calculation gives 0.21 eV per atom. For the density of states at the Fermi level, the calculation gives 1.13 states/eV per atom. Its energy above the most stable polymorph in this dataset is 179 meV/atom. The theoretical density is 5.24 g/cm3. The calculation puts the magnetization at 1.28 μB per cell.

The structure in CIF format:
```
data_KY2Tl
_chemical_formula_sum 'K2 Y4 Tl2'
_cell_length_a 3.9068
_cell_length_b 5.6409
_cell_length_c 12.1175
_cell_angle_alpha 90.00
_cell_angle_beta 90.00
_cell_angle_gamma 90.00
_space_group_name_H-M_alt 'I m m 2'
_space_group_IT_number 44
_space_group_name_Hall 'I 2 -2'
loop_
_atom_site_label
_atom_site_fract_x
_atom_site_fract_y
_atom_site_fract_z
K1 0.0000 0.0000 0.0000
Y1 0.0000 0.0000 0.4390
Y2 0.0000 0.5000 0.2102
Tl1 0.0000 0.5000 0.7344
```


Q: What is the theoretical density in the twelfth record?
A: 5.24 g/cm3


Q: What is the theoretical density in the sixth record?
A: 3.57 g/cm3


Q: Which of these has the lowest theoretical density?
A: number 6